1.
Computed, not measured: an optimized crystal structure of Pm5Pr4Sm2 at the GGA-PBE level of DFT.

Output
excess energy over the best structure of this formula in the dataset	0.000	eV per atom
spin magnetization	0.000	μB per atom
total DFT energy (no corrections)	-4.656	eV/atom

Cell: 3.591 8.879 12.439 Å, 94.45 98.30 90.00°
Element x y z (fractional)
1 Pr 0.727 0.825 0.453
2 Pr 0.959 0.655 0.917
3 Pr 0.041 0.345 0.083
4 Pr 0.273 0.175 0.547
5 Pm 0.500 0.000 0.000
6 Pm 0.815 0.526 0.630
7 Pm 0.131 0.048 0.262
8 Pm 0.185 0.474 0.370
9 Pm 0.869 0.952 0.738
10 Sm 0.587 0.698 0.175
11 Sm 0.413 0.302 0.825



2.
Computed, not measured: an optimized crystal structure of Pm5PrSm at the GGA-PBE level of DFT.

Output
excess energy over the best structure of this formula in the dataset	0.694	eV per atom
spin magnetization	0.000	μB per atom
total DFT energy (no corrections)	-3.894	eV/atom

Cell: 6.321 8.049 7.814 Å, 121.00 113.86 90.00°
Element x y z (fractional)
1 Pm 0.183 0.251 0.501
2 Pm 0.432 0.179 0.000
3 Pm 0.681 0.749 0.499
4 Pm 0.432 0.821 0.000
5 Pm 0.168 0.500 0.000
6 Pr 0.702 0.500 0.000
7 Sm 0.933 0.000 0.000



3.
Computed, not measured: an optimized crystal structure of Pm2Pr8Sm at the GGA-PBE level of DFT.

Output
excess energy over the best structure of this formula in the dataset	0.139	eV per atom
spin magnetization	0.000	μB per atom
total DFT energy (no corrections)	-4.618	eV/atom

Cell: 6.836 10.528 10.528 Å, 38.31 59.87 59.87°
Element x y z (fractional)
1 Pr 0.830 0.245 0.245
2 Pr 0.170 0.755 0.755
3 Pr 0.767 0.651 0.175
4 Pr 0.233 0.349 0.825
5 Pr 0.270 0.407 0.407
6 Pr 0.233 0.825 0.349
7 Pr 0.767 0.175 0.651
8 Pr 0.730 0.593 0.593
9 Pm 0.586 0.802 0.802
10 Pm 0.414 0.198 0.198
11 Sm 0.000 0.000 0.000



4.
Computed, not measured: an optimized crystal structure of Pm3Pr4Sm5 at the GGA-PBE level of DFT.

Output
excess energy over the best structure of this formula in the dataset	0.187	eV per atom
spin magnetization	0.000	μB per atom
total DFT energy (no corrections)	-4.547	eV/atom

Cell: 6.075 8.749 9.908 Å, 105.95 72.15 69.69°
Element x y z (fractional)
1 Pm 0.481 0.311 0.727
2 Pm 0.000 0.500 0.500
3 Pm 0.519 0.689 0.273
4 Sm 0.500 0.500 0.500
5 Sm 0.375 0.052 0.198
6 Sm 0.217 0.455 0.110
7 Sm 0.625 0.948 0.802
8 Sm 0.783 0.545 0.890
9 Pr 0.834 0.953 0.379
10 Pr 0.859 0.224 0.058
11 Pr 0.141 0.776 0.942
12 Pr 0.166 0.047 0.621



5.
Computed, not measured: an optimized crystal structure of Pm4Pr3Sm at the GGA-PBE level of DFT.

Output
excess energy over the best structure of this formula in the dataset	0.020	eV per atom
spin magnetization	0.000	μB per atom
total DFT energy (no corrections)	-4.724	eV/atom

Cell: 6.405 7.407 11.907 Å, 90.00 90.00 90.00°
Element x y z (fractional)
1 Pm 0.149 0.876 0.000
2 Pm 0.148 0.877 0.500
3 Pm 0.480 0.876 0.749
4 Pm 0.480 0.876 0.251
5 Pm 0.980 0.124 0.249
6 Pm 0.980 0.124 0.751
7 Pm 0.648 0.123 0.000
8 Pm 0.649 0.124 0.500
9 Pr 0.648 0.626 0.000
10 Pr 0.481 0.374 0.250
11 Pr 0.981 0.626 0.750
12 Pr 0.981 0.626 0.250
13 Pr 0.148 0.374 0.500
14 Pr 0.481 0.374 0.750
15 Sm 0.148 0.373 0.000
16 Sm 0.648 0.627 0.500



6.
Computed, not measured: an optimized crystal structure of PmPr2Sm6 at the GGA-PBE level of DFT.

Output
excess energy over the best structure of this formula in the dataset	0.148	eV per atom
spin magnetization	0.000	μB per atom
total DFT energy (no corrections)	-4.533	eV/atom

Cell: 6.162 7.689 7.689 Å, 60.01 90.01 90.01°
Element x y z (fractional)
1 Sm 0.290 0.376 0.813
2 Sm 0.710 0.624 0.187
3 Sm 0.288 0.813 0.813
4 Sm 0.712 0.187 0.187
5 Sm 0.710 0.187 0.624
6 Sm 0.290 0.813 0.376
7 Pm 0.000 0.000 0.000
8 Pr 0.784 0.667 0.667
9 Pr 0.216 0.333 0.333



7.
Computed, not measured: an optimized crystal structure of Pm10PrSm4 at the GGA-PBE level of DFT.

Output
spin magnetization	0.000	μB per atom
total DFT energy (no corrections)	-4.230	eV/atom

Cell: 6.836 9.709 9.709 Å, 82.88 69.39 69.39°
Element x y z (fractional)
1 Sm 0.677 0.756 0.890
2 Sm 0.433 0.890 0.244
3 Sm 0.567 0.110 0.756
4 Sm 0.323 0.244 0.110
5 Pm 0.624 0.421 0.837
6 Pm 0.750 0.500 0.500
7 Pm 0.882 0.579 0.163
8 Pm 0.461 0.163 0.421
9 Pm 0.539 0.837 0.579
10 Pm 0.118 0.421 0.837
11 Pm 0.376 0.579 0.163
12 Pm 0.045 0.837 0.579
13 Pm 0.250 0.500 0.500
14 Pm 0.955 0.163 0.421
15 Pr 0.000 0.000 0.000



8.
Computed, not measured: an optimized crystal structure of Pm3Pr2Sm3 at the GGA-PBE level of DFT.

Output
excess energy over the best structure of this formula in the dataset	0.019	eV per atom
spin magnetization	0.000	μB per atom
total DFT energy (no corrections)	-4.713	eV/atom

Cell: 6.390 5.918 14.785 Å, 90.00 90.00 89.99°
Element x y z (fractional)
1 Pm 0.166 0.250 0.875
2 Pm 0.834 0.750 0.375
3 Pm 0.166 0.250 0.625
4 Pm 0.669 0.250 0.250
5 Pm 0.331 0.750 0.750
6 Pm 0.834 0.750 0.125
7 Sm 0.666 0.250 0.000
8 Sm 0.663 0.250 0.750
9 Sm 0.337 0.750 0.250
10 Sm 0.666 0.250 0.500
11 Sm 0.334 0.750 0.000
12 Sm 0.334 0.750 0.500
13 Pr 0.832 0.750 0.625
14 Pr 0.168 0.250 0.125
15 Pr 0.832 0.750 0.875
16 Pr 0.168 0.250 0.375



9.
Computed, not measured: an optimized crystal structure of Pm6Pr2Sm at the GGA-PBE level of DFT.

Output
excess energy over the best structure of this formula in the dataset	0.069	eV per atom
spin magnetization	0.000	μB per atom
total DFT energy (no corrections)	-4.672	eV/atom

Cell: 6.263 10.291 10.291 Å, 70.54 84.68 84.68°
Element x y z (fractional)
1 Pm 0.319 0.745 0.022
2 Pm 0.351 0.925 0.651
3 Pm 0.985 0.409 0.687
4 Pm 0.149 0.349 0.075
5 Pm 0.851 0.651 0.925
6 Pm 0.015 0.591 0.313
7 Pm 0.485 0.687 0.409
8 Pm 0.181 0.978 0.255
9 Pm 0.649 0.075 0.349
10 Pm 0.515 0.313 0.591
11 Pm 0.681 0.255 0.978
12 Pm 0.819 0.022 0.745
13 Sm 0.750 0.900 0.100
14 Sm 0.250 0.100 0.900
15 Pr 0.920 0.768 0.566
16 Pr 0.580 0.434 0.232
17 Pr 0.420 0.566 0.768
18 Pr 0.080 0.232 0.434



10.
Computed, not measured: an optimized crystal structure of Pm5PrSm at the GGA-PBE level of DFT.

Output
excess energy over the best structure of this formula in the dataset	0.000	eV per atom
spin magnetization	0.000	μB per atom
total DFT energy (no corrections)	-4.588	eV/atom

Cell: 6.961 6.961 13.842 Å, 61.81 61.81 60.05°
Element x y z (fractional)
1 Pm 0.347 0.308 0.500
2 Pm 0.842 0.597 0.249
3 Pm 0.308 0.347 0.000
4 Pm 0.597 0.842 0.749
5 Pm 0.160 0.840 0.750
6 Pm 0.653 0.692 0.500
7 Pm 0.403 0.158 0.251
8 Pm 0.158 0.403 0.751
9 Pm 0.692 0.653 0.000
10 Pm 0.840 0.160 0.250
11 Sm 0.000 0.000 0.000
12 Sm 0.000 0.000 0.500
13 Pr 0.279 0.721 0.250
14 Pr 0.721 0.279 0.750



11.
Computed, not measured: an optimized crystal structure of Pm4Pr5Sm at the GGA-PBE level of DFT.

Output
excess energy over the best structure of this formula in the dataset	0.000	eV per atom
spin magnetization	0.000	μB per atom
total DFT energy (no corrections)	-4.621	eV/atom

Cell: 3.537 7.002 14.595 Å, 97.15 96.96 90.00°
Element x y z (fractional)
1 Pr 0.200 0.599 0.400
2 Pr 0.205 0.105 0.411
3 Pr 0.500 0.500 0.000
4 Pr 0.800 0.401 0.600
5 Pr 0.795 0.895 0.589
6 Pm 0.393 0.189 0.786
7 Pm 0.906 0.703 0.813
8 Pm 0.607 0.811 0.214
9 Pm 0.094 0.297 0.187
10 Sm 0.500 0.000 0.000



12.
Computed, not measured: an optimized crystal structure of PmPr4Sm5 at the GGA-PBE level of DFT.

Output
spin magnetization	0.000	μB per atom
total DFT energy (no corrections)	-4.573	eV/atom

Cell: 3.607 11.386 8.994 Å, 90.01 101.92 90.04°
Element x y z (fractional)
1 Sm 0.500 0.500 0.000
2 Sm 0.827 0.054 0.652
3 Sm 0.826 0.447 0.652
4 Sm 0.173 0.946 0.348
5 Sm 0.174 0.553 0.348
6 Pr 0.656 0.250 0.309
7 Pr 0.344 0.750 0.691
8 Pr 0.964 0.250 0.939
9 Pr 0.036 0.750 0.061
10 Pm 0.500 0.000 0.000